Record 1
# KNdO2 (PBE, relaxed)
data_KNdO2
_chemical_formula_sum 'K4 Nd4 O8'
_cell_length_a 7.1609
_cell_length_b 7.0622
_cell_length_c 6.6654
_cell_angle_alpha 90.00
_cell_angle_beta 90.00
_cell_angle_gamma 90.00
_symmetry_space_group_name_H-M 'P b c m'
_symmetry_Int_Tables_number 57
loop_
_symmetry_equiv_pos_as_xyz
'x,y,z'
'-x,-y,-z'
'-x,-y,z+1/2'
'x,y,-z+1/2'
'x,-y+1/2,-z'
'-x,y+1/2,z'
'-x,y+1/2,-z+1/2'
'x,-y+1/2,z+1/2'
loop_
_atom_site_label
_atom_site_fract_x
_atom_site_fract_y
_atom_site_fract_z
K1 0.1210 0.1007 0.2500
Nd1 0.3525 0.6479 0.2500
O1 0.1654 0.7500 0.0000
O2 0.4009 0.1640 0.7500
# Final energy ... -6.3714 eV/atom
# Theoretical density ... 4.2 Mg/m³

=====

Record 2
# MgSiIr2 (PBE, relaxed)
data_MgSiIr2
_chemical_formula_sum 'Mg1 Si1 Ir2'
_cell_length_a 4.2327
_cell_length_b 4.2327
_cell_length_c 3.0758
_cell_angle_alpha 90.00
_cell_angle_beta 90.00
_cell_angle_gamma 90.00
_symmetry_space_group_name_H-M 'P 4/m m m'
_symmetry_Int_Tables_number 123
_symmetry_space_group_name_Hall '-P 4 2'
loop_
_atom_site_label
_atom_site_fract_x
_atom_site_fract_y
_atom_site_fract_z
Mg1 0.0000 0.0000 0.0000
Si1 0.5000 0.5000 0.0000
Ir1 0.0000 0.5000 0.5000
# Final energy ... -6.7134 eV/atom
# Theoretical density ... 13.2 Mg/m³

=====

Record 3
# ZnAgTeO (PBE, relaxed)
data_ZnAgTeO
_chemical_formula_sum 'Zn4 Ag4 Te4 O4'
_cell_length_a 5.9664
_cell_length_b 3.6529
_cell_length_c 14.3375
_cell_angle_alpha 90.00
_cell_angle_beta 90.00
_cell_angle_gamma 90.00
_symmetry_space_group_name_H-M 'P n m a'
_symmetry_Int_Tables_number 62
loop_
_symmetry_equiv_pos_as_xyz
'x,y,z'
'-x,-y,-z'
'-x+1/2,-y,z+1/2'
'x+1/2,y,-z+1/2'
'x+1/2,-y+1/2,-z+1/2'
'-x+1/2,y+1/2,z+1/2'
'-x,y+1/2,-z'
'x,-y+1/2,z'
loop_
_atom_site_label
_atom_site_fract_x
_atom_site_fract_y
_atom_site_fract_z
Zn1 0.1017 0.2500 0.2118
Ag1 0.2430 0.2500 0.9198
Te1 0.2330 0.2500 0.5755
O1 0.2087 0.7500 0.8162
# Final energy ... -3.4884 eV/atom
# Offset from the most stable computed form ... 2.910 kcal/mol of atoms
# Theoretical density ... 6.7 Mg/m³

=====

Record 4
# LuHgSO (PBE, relaxed)
data_LuHgSO
_chemical_formula_sum 'Lu2 Hg2 S2 O2'
_cell_length_a 4.4168
_cell_length_b 8.5102
_cell_length_c 5.3428
_cell_angle_alpha 90.00
_cell_angle_beta 90.00
_cell_angle_gamma 90.00
_symmetry_space_group_name_H-M 'P m c 21'
_symmetry_Int_Tables_number 26
loop_
_symmetry_equiv_pos_as_xyz
'x,y,z'
'-x,-y,z+1/2'
'-x,y,z'
'x,-y,z+1/2'
loop_
_atom_site_label
_atom_site_fract_x
_atom_site_fract_y
_atom_site_fract_z
Lu1 0.0000 0.1387 0.0000
Hg1 0.5000 0.3078 0.5694
S1 0.5000 0.3051 0.0760
O1 0.0000 0.0830 0.6336
# Final energy ... -5.1130 eV/atom
# Offset from the most stable computed form ... 5.645 kcal/mol of atoms
# Theoretical density ... 7.0 Mg/m³

=====

Record 5
# Cu14Te (PBE, relaxed)
data_Cu14Te
_chemical_formula_sum 'Cu28 Te2'
_cell_length_a 5.6037
_cell_length_b 3.6523
_cell_length_c 28.7769
_cell_angle_alpha 90.00
_cell_angle_beta 90.89
_cell_angle_gamma 90.00
_symmetry_space_group_name_H-M 'P 1 21/m 1'
_symmetry_Int_Tables_number 11
loop_
_symmetry_equiv_pos_as_xyz
'x,y,z'
'-x,-y,-z'
'-x,y+1/2,-z'
'x,-y+1/2,z'
loop_
_atom_site_label
_atom_site_fract_x
_atom_site_fract_y
_atom_site_fract_z
Cu1 0.0381 0.2500 0.2699
Cu2 0.0496 0.2500 0.0707
Cu3 0.0524 0.2500 0.8689
Cu4 0.1444 0.7500 0.2113
Cu5 0.1496 0.7500 0.0100
Cu6 0.1553 0.7500 0.8093
Cu7 0.2480 0.2500 0.1514
Cu8 0.2500 0.2500 0.9495
Cu9 0.2558 0.2500 0.7482
Cu10 0.3485 0.7500 0.0905
Cu11 0.3524 0.7500 0.8893
Cu12 0.4491 0.2500 0.0302
Cu13 0.4548 0.2500 0.2327
Cu14 0.4555 0.2500 0.8289
Te1 0.3421 0.7500 0.3019
# Final energy ... -3.6387 eV/atom
# Offset from the most stable computed form ... 0.027 kcal/mol of atoms
# Theoretical density ... 5.7 Mg/m³

=====

Record 6
# NdInGeAu2 (PBE, relaxed)
data_NdInGeAu2
_chemical_formula_sum 'Nd2 In2 Ge2 Au4'
_cell_length_a 4.4249
_cell_length_b 4.4249
_cell_length_c 11.3843
_cell_angle_alpha 90.00
_cell_angle_beta 90.00
_cell_angle_gamma 90.00
_symmetry_space_group_name_H-M 'P 4/n m m'
_symmetry_Int_Tables_number 129
loop_
_symmetry_equiv_pos_as_xyz
'x,y,z'
'-x,-y,-z'
'-y+1/2,x,z'
'y+1/2,-x,-z'
'-x+1/2,-y+1/2,z'
'x+1/2,y+1/2,-z'
'y,-x+1/2,z'
'-y,x+1/2,-z'
'x+1/2,-y,-z'
'-x+1/2,y,z'
'-y,-x,-z'
'y,x,z'
'-x,y+1/2,-z'
'x,-y+1/2,z'
'y+1/2,x+1/2,-z'
'-y+1/2,-x+1/2,z'
loop_
_atom_site_label
_atom_site_fract_x
_atom_site_fract_y
_atom_site_fract_z
Nd1 0.2500 0.2500 0.2247
In1 0.2500 0.7500 0.5000
Ge1 0.2500 0.2500 0.8700
Au1 0.2500 0.2500 0.6522
Au2 0.2500 0.7500 0.0000
# Final energy ... -4.3193 eV/atom
# Theoretical density ... 10.8 Mg/m³

=====

- Among the records above, which one has the lowest theoretical density?
  KNdO2

=====

- Among the records above, which one has the lowest final energy?
  MgSiIr2

=====

- Which of these has the highest theoretical density?
  MgSiIr2